No. 1
First-principles (PBE-GGA) data for a relaxed structure of TbSm2Er2Th2, as listed in the Alexandria database.

Lattice parameters (Å, degrees): 17.707 3.459 8.527 90.00 117.96 90.00
Space group C2/m (No. 12)
Inequivalent atoms, fractional coordinates:
1 Tb 0.000 0.000 0.000
2 Sm 0.145 0.500 0.875
3 Er 0.210 0.000 0.300
4 Th 0.066 0.500 0.406

Results
- raw total energy (eV/atom) = -5.262
- crystal system = monoclinic
- theoretical density (g/cm3) = 9.06
- ΔH_f (0 K) (eV/f.u.) = 1.2

=====

No. 2
First-principles (PBE-GGA) data for a relaxed structure of TlPtCl6, as listed in the Alexandria database.

Lattice parameters (Å, degrees): 6.502 11.629 6.457 90.00 104.96 90.00
Space group C2/m (No. 12)
Inequivalent atoms, fractional coordinates:
1 Tl 0.000 0.000 0.000
2 Pt 0.000 0.500 0.500
3 Cl 0.203 0.356 0.712
4 Cl 0.240 0.500 0.273

Results
- raw formation energy (eV/f.u.) = -4.029
- raw total energy (eV/atom) = -2.939
- crystal system = monoclinic
- theoretical density (g/cm3) = 4.31

=====

No. 3
First-principles (PBE-GGA) data for a relaxed structure of TbTmIn6, as listed in the Alexandria database.

Lattice parameters (Å, degrees): 6.5800 6.5800 5.3229 90.00 90.00 120.00
Space group P-6m2 (No. 187)
Inequivalent atoms, fractional coordinates:
1 Tb 0.0000 0.0000 0.0000
2 Tm 0.3333 0.6667 0.5000
3 In 0.3436 0.1718 0.5000
4 In 0.5032 0.0063 0.0000

Results
- raw total energy (eV/atom) = -3.523
- crystal system = hexagonal
- theoretical density (g/cm3) = 8.46
- ΔH_f (0 K) (eV/f.u.) = -2.7
- excess energy over the best structure of this formula in the dataset (eV/f.u.) = 0.52

=====

No. 4
First-principles (PBE-GGA) data for a relaxed structure of NbTc2Mo, as listed in the Alexandria database.

Lattice parameters (Å, degrees): 3.156 3.156 6.332 90.00 90.00 90.00
Space group P4/mmm (No. 123)
Inequivalent atoms, fractional coordinates:
1 Nb 0.000 0.000 0.000
2 Tc 0.500 0.500 0.253
3 Mo 0.000 0.000 0.500

Results
- raw total energy (eV/atom) = -10.530
- crystal system = tetragonal
- theoretical density (g/cm3) = 10.13
- ΔH_f (0 K) (eV/f.u.) = -0.5
- excess energy over the best structure of this formula in the dataset (eV/f.u.) = 0.00

=====

No. 5
First-principles (PBE-GGA) data for a relaxed structure of Ge2BiTe4, as listed in the Alexandria database.

Lattice parameters (Å, degrees): 4.297 13.949 13.914 90.00 90.00 90.00
Space group Cmcm (No. 63)
Inequivalent atoms, fractional coordinates:
1 Ge 0.000 0.139 0.055
2 Bi 0.000 0.413 0.250
3 Te 0.000 0.068 0.250
4 Te 0.000 0.228 0.628
5 Te 0.000 0.500 0.000

Results
- raw formation energy (eV/f.u.) = -0.356
- raw total energy (eV/atom) = -3.720
- crystal system = orthorhombic
- theoretical density (g/cm3) = 6.89

=====

No. 6
First-principles (PBE-GGA) data for a relaxed structure of TaGaAs3, as listed in the Alexandria database.

Lattice parameters (Å, degrees): 5.028 5.028 5.028 90.00 90.00 90.00
Space group Pm-3m (No. 221)
Inequivalent atoms, fractional coordinates:
1 Ta 0.000 0.000 0.000
2 Ga 0.500 0.500 0.500
3 As 0.000 0.000 0.500

Results
- raw total energy (eV/atom) = -5.511
- crystal system = cubic
- theoretical density (g/cm3) = 6.21
- ΔH_f (0 K) (eV/f.u.) = 1.3
- excess energy over the best structure of this formula in the dataset (eV/f.u.) = 0.00

=====

No. 7
First-principles (PBE-GGA) data for a relaxed structure of RbZnIn2, as listed in the Alexandria database.

Lattice parameters (Å, degrees): 5.857 5.857 18.671 90.00 90.00 90.00
Space group I-42d (No. 122)
Inequivalent atoms, fractional coordinates:
1 Rb 0.000 0.000 0.000
2 Zn 0.000 0.000 0.500
3 In 0.001 0.250 0.625

Results
- raw total energy (eV/atom) = -1.804
- crystal system = tetragonal
- theoretical density (g/cm3) = 3.95
- ΔH_f (0 K) (eV/f.u.) = 0.5

=====

No. 8
First-principles (PBE-GGA) data for a relaxed structure of CaReBr2, as listed in the Alexandria database.

Lattice parameters (Å, degrees): 7.552 7.552 7.552 90.00 90.00 90.00
Space group F-43m (No. 216)
Inequivalent atoms, fractional coordinates:
1 Ca 0.000 0.000 0.000
2 Re 0.250 0.250 0.250
3 Br 0.000 0.000 0.500
4 Br 0.250 0.250 0.750

Results
- raw formation energy (eV/f.u.) = 2.690
- raw total energy (eV/atom) = -3.776
- crystal system = cubic
- theoretical density (g/cm3) = 5.95
- excess energy over the best structure of this formula in the dataset (eV/f.u.) = 2.82

=====

No. 9
First-principles (PBE-GGA) data for a relaxed structure of Sm3Dy4Tm5, as listed in the Alexandria database.

Lattice parameters (Å, degrees): 15.866 5.865 9.231 90.00 116.21 90.00
Space group C2/m (No. 12)
Inequivalent atoms, fractional coordinates:
1 Sm 0.000 0.000 0.000
2 Sm 0.209 0.500 0.233
3 Dy 0.082 0.500 0.442
4 Dy 0.210 0.500 0.879
5 Tm 0.000 0.500 0.000
6 Tm 0.072 0.000 0.697
7 Tm 0.172 0.000 0.387

Results
- raw total energy (eV/atom) = -4.335
- crystal system = monoclinic
- theoretical density (g/cm3) = 8.38
- ΔH_f (0 K) (eV/f.u.) = 2.9
- excess energy over the best structure of this formula in the dataset (eV/f.u.) = 2.66

=====

No. 10
First-principles (PBE-GGA) data for a relaxed structure of Ti4GeAs, as listed in the Alexandria database.

Lattice parameters (Å, degrees): 5.969 6.096 6.112 90.00 93.28 90.00
Space group P2_1/c (No. 14)
Inequivalent atoms, fractional coordinates:
1 Ti 0.129 0.137 0.373
2 Ti 0.363 0.639 0.350
3 Ge 0.000 0.000 0.000
4 As 0.500 0.000 0.500

Results
- raw total energy (eV/atom) = -7.057
- crystal system = monoclinic
- theoretical density (g/cm3) = 5.07
- ΔH_f (0 K) (eV/f.u.) = -1.5
- excess energy over the best structure of this formula in the dataset (eV/f.u.) = 2.35

=====

No. 11
First-principles (PBE-GGA) data for a relaxed structure of LiHfAl, as listed in the Alexandria database.

Lattice parameters (Å, degrees): 3.036 4.754 7.810 90.00 100.25 90.00
Space group P2_1/m (No. 11)
Inequivalent atoms, fractional coordinates:
1 Li 0.239 0.250 0.472
2 Hf 0.409 0.750 0.875
3 Al 0.120 0.750 0.218

Results
- raw total energy (eV/atom) = -5.359
- crystal system = monoclinic
- theoretical density (g/cm3) = 6.36
- ΔH_f (0 K) (eV/f.u.) = -0.5
- excess energy over the best structure of this formula in the dataset (eV/f.u.) = 0.06

=====

No. 12
First-principles (PBE-GGA) data for a relaxed structure of Y2HoThSc, as listed in the Alexandria database.

Lattice parameters (Å, degrees): 6.798 7.732 6.060 90.00 90.13 90.00
Space group P2/c (No. 13)
Inequivalent atoms, fractional coordinates:
1 Y 0.232 0.171 0.249
2 Ho 0.000 0.365 0.750
3 Th 0.500 0.170 0.750
4 Sc 0.500 0.500 0.000

Results
- raw total energy (eV/atom) = -5.967
- crystal system = monoclinic
- theoretical density (g/cm3) = 6.46
- ΔH_f (0 K) (eV/f.u.) = 1.4

=====

No. 13
First-principles (PBE-GGA) data for a relaxed structure of Mg3W, as listed in the Alexandria database.

Lattice parameters (Å, degrees): 5.493 5.493 5.493 90.00 90.00 90.00
Space group Pm-3m (No. 221)
Inequivalent atoms, fractional coordinates:
1 Mg 0.000 0.000 0.500
2 W 0.000 0.000 0.000

Results
- raw total energy (eV/atom) = -2.840
- crystal system = cubic
- theoretical density (g/cm3) = 2.57
- ΔH_f (0 K) (eV/f.u.) = 6.4
- excess energy over the best structure of this formula in the dataset (eV/f.u.) = 5.24

=====

No. 14
First-principles (PBE-GGA) data for a relaxed structure of SmMg2Cu2Ge2, as listed in the Alexandria database.

Lattice parameters (Å, degrees): 4.2801 4.2801 24.5598 90.00 90.00 120.00
Space group R-3m (No. 166, hexagonal axes)
Inequivalent atoms, fractional coordinates:
1 Sm 0.0000 0.0000 0.0000
2 Mg 0.0000 0.0000 0.1346
3 Cu 0.0000 0.0000 0.4177
4 Ge 0.0000 0.0000 0.2556

Results
- raw total energy (eV/atom) = -4.028
- crystal system = trigonal
- theoretical density (g/cm3) = 6.03
- ΔH_f (0 K) (eV/f.u.) = -2.9

=====

No. 15
First-principles (PBE-GGA) data for a relaxed structure of LiAlNO2, as listed in the Alexandria database.

Lattice parameters (Å, degrees): 3.470 3.470 3.795 90.00 90.00 90.00
Space group P4/mmm (No. 123)
Inequivalent atoms, fractional coordinates:
1 Li 0.000 0.000 0.000
2 Al 0.500 0.500 0.500
3 N 0.000 0.000 0.500
4 O 0.000 0.500 0.000

Results
- raw formation energy (eV/f.u.) = 1.441
- raw total energy (eV/atom) = -4.491
- crystal system = tetragonal
- theoretical density (g/cm3) = 2.90

=====

No. 16
First-principles (PBE-GGA) data for a relaxed structure of MnTc2, as listed in the Alexandria database.

Lattice parameters (Å, degrees): 9.823 2.697 6.348 90.00 104.10 90.00
Space group Cm (No. 8)
Inequivalent atoms, fractional coordinates:
1 Mn 0.000 0.000 0.000
2 Mn 0.157 0.500 0.321
3 Tc 0.058 0.000 0.599
4 Tc 0.213 0.500 0.944
5 Tc 0.331 0.000 0.659
6 Tc 0.385 0.000 0.267

Results
- raw total energy (eV/atom) = -9.891
- crystal system = monoclinic
- theoretical density (g/cm3) = 10.22
- ΔH_f (0 K) (eV/f.u.) = 0.2
- excess energy over the best structure of this formula in the dataset (eV/f.u.) = 0.23

=====

No. 17
First-principles (PBE-GGA) data for a relaxed structure of CaPr3Zn8, as listed in the Alexandria database.

Lattice parameters (Å, degrees): 5.6982 5.6982 8.8348 90.00 90.00 120.00
Space group P3m1 (No. 156)
Inequivalent atoms, fractional coordinates:
1 Ca 0.0000 0.0000 0.0000
2 Pr 0.0000 0.0000 0.3888
3 Pr 0.6667 0.3333 0.4886
4 Pr 0.6667 0.3333 0.8828
5 Zn 0.0076 0.5038 0.1876
6 Zn 0.1687 0.3374 0.6913
7 Zn 0.3333 0.6667 0.4387
8 Zn 0.3333 0.6667 0.9367

Results
- raw total energy (eV/atom) = -2.496
- crystal system = trigonal
- theoretical density (g/cm3) = 6.59
- ΔH_f (0 K) (eV/f.u.) = -3.4
- excess energy over the best structure of this formula in the dataset (eV/f.u.) = 0.14

=====

No. 18
First-principles (PBE-GGA) data for a relaxed structure of CaZnPd3, as listed in the Alexandria database.

Lattice parameters (Å, degrees): 4.904 4.904 4.904 90.00 90.00 90.00
Space group Pm-3m (No. 221)
Inequivalent atoms, fractional coordinates:
1 Ca 0.000 0.000 0.000
2 Zn 0.500 0.500 0.500
3 Pd 0.000 0.000 0.500

Results
- raw total energy (eV/atom) = -3.062
- crystal system = cubic
- theoretical density (g/cm3) = 5.98
- ΔH_f (0 K) (eV/f.u.) = 3.5
- excess energy over the best structure of this formula in the dataset (eV/f.u.) = 6.13

=====

No. 19
First-principles (PBE-GGA) data for a relaxed structure of Li2AlSi, as listed in the Alexandria database.

Lattice parameters (Å, degrees): 2.8231 2.8231 27.4312 90.00 90.00 120.00
Space group R3m (No. 160, hexagonal axes)
Inequivalent atoms, fractional coordinates:
1 Li 0.0000 0.0000 0.0000
2 Li 0.0000 0.0000 0.2440
3 Al 0.0000 0.0000 0.7464
4 Si 0.0000 0.0000 0.5000

Results
- raw formation energy (eV/f.u.) = 0.276
- raw total energy (eV/atom) = -3.179
- crystal system = trigonal
- theoretical density (g/cm3) = 1.81

=====

No. 20
First-principles (PBE-GGA) data for a relaxed structure of MgSc2Cu3, as listed in the Alexandria database.

Lattice parameters (Å, degrees): 4.5562 4.5562 11.1615 90.00 90.00 120.00
Space group P-3m1 (No. 164)
Inequivalent atoms, fractional coordinates:
1 Mg 0.3333 0.6667 0.1661
2 Sc 0.0000 0.0000 0.0000
3 Sc 0.0000 0.0000 0.5000
4 Sc 0.3333 0.6667 0.6738
5 Cu 0.0000 0.0000 0.2495
6 Cu 0.3333 0.6667 0.4215
7 Cu 0.3333 0.6667 0.9205

Results
- raw total energy (eV/atom) = -4.662
- crystal system = trigonal
- theoretical density (g/cm3) = 5.05
- ΔH_f (0 K) (eV/f.u.) = -1.4

=====

No. 21
First-principles (PBE-GGA) data for a relaxed structure of La2PuAs3Rh4, as listed in the Alexandria database.

Lattice parameters (Å, degrees): 4.194 4.194 11.355 90.00 90.00 90.00
Space group P-4m2 (No. 115)
Inequivalent atoms, fractional coordinates:
1 La 0.000 0.500 0.230
2 Pu 0.000 0.000 0.500
3 As 0.000 0.500 0.874
4 As 0.500 0.500 0.500
5 Rh 0.000 0.000 0.000
6 Rh 0.000 0.500 0.657
7 Rh 0.500 0.500 0.000

Results
- raw total energy (eV/atom) = -7.673
- crystal system = tetragonal
- theoretical density (g/cm3) = 9.63
- ΔH_f (0 K) (eV/f.u.) = -9.2

=====

No. 22
First-principles (PBE-GGA) data for a relaxed structure of SmEuAgHg, as listed in the Alexandria database.

Lattice parameters (Å, degrees): 7.324 7.324 7.324 90.00 90.00 90.00
Space group F-43m (No. 216)
Inequivalent atoms, fractional coordinates:
1 Sm 0.000 0.000 0.000
2 Eu 0.250 0.250 0.750
3 Ag 0.000 0.000 0.500
4 Hg 0.250 0.250 0.250

Results
- raw total energy (eV/atom) = -4.734
- crystal system = cubic
- theoretical density (g/cm3) = 10.33
- ΔH_f (0 K) (eV/f.u.) = -0.8

=====

No. 23
First-principles (PBE-GGA) data for a relaxed structure of Ho3Cu8Pd, as listed in the Alexandria database.

Lattice parameters (Å, degrees): 5.1133 5.1133 8.4109 90.00 90.00 120.00
Space group P3m1 (No. 156)
Inequivalent atoms, fractional coordinates:
1 Ho 0.0000 0.0000 0.0000
2 Ho 0.0000 0.0000 0.3958
3 Ho 0.3333 0.6667 0.8320
4 Cu 0.0055 0.5027 0.1859
5 Cu 0.3361 0.1680 0.6799
6 Cu 0.6667 0.3333 0.4331
7 Cu 0.6667 0.3333 0.9389
8 Pd 0.3333 0.6667 0.4770

Results
- raw total energy (eV/atom) = -4.591
- crystal system = trigonal
- theoretical density (g/cm3) = 9.67
- ΔH_f (0 K) (eV/f.u.) = -3.4
- excess energy over the best structure of this formula in the dataset (eV/f.u.) = 0.00

=====

No. 24
First-principles (PBE-GGA) data for a relaxed structure of La4Er5Tm2, as listed in the Alexandria database.

Lattice parameters (Å, degrees): 24.349 3.540 8.791 90.00 100.40 90.00
Space group C2/m (No. 12)
Inequivalent atoms, fractional coordinates:
1 La 0.029 0.000 0.192
2 La 0.130 0.500 0.034
3 Er 0.000 0.500 0.500
4 Er 0.187 0.000 0.405
5 Er 0.231 0.000 0.827
6 Tm 0.103 0.000 0.682

Results
- raw total energy (eV/atom) = -4.462
- crystal system = monoclinic
- theoretical density (g/cm3) = 7.71
- ΔH_f (0 K) (eV/f.u.) = 2.4
- excess energy over the best structure of this formula in the dataset (eV/f.u.) = 1.81